The following is a PBE calculation of a geometry-optimized PmSmPd4 structure, from Alexandria via LeMat-Bulk.

Properties
space group: F-43m
total DFT energy (no corrections): -5.819 eV/atom
crystal system: cubic

Lattice parameters (Å, degrees): 5.5042 5.5042 5.5042 60.00 60.00 60.00
Closest atoms and distances in Å follow each position.
Fractional positions:
Pm1 0.0000 0.0000 0.0000  12 Pd 3.23, 4 Sm 3.37
Sm1 0.2500 0.2500 0.2500  12 Pd 3.23, 4 Pm 3.37
Pd1 0.1252 0.6249 0.6249  6 Pd 2.75
Pd2 0.6249 0.1252 0.6249  6 Pd 2.75
Pd3 0.6249 0.6249 0.1252  6 Pd 2.75
Pd4 0.6249 0.6249 0.6249  6 Pd 2.75

=====

The following is a PBE calculation of a geometry-optimized PmHoPu2Se5 structure, from Alexandria via LeMat-Bulk.

Properties
space group: P4/mmm
total DFT energy (no corrections): -7.332 eV/atom
crystal system: tetragonal
formation energy without anion corrections: -1175 meV per atom

Lattice parameters (Å, degrees): 5.1182 5.1182 10.9281 90.00 90.00 90.00
Closest atoms and distances in Å follow each position.
Fractional positions:
Pm1 0.0000 0.0000 0.0000  2 Se 2.71
Ho1 0.0000 0.0000 0.5000  6 Se 2.56-2.75
Pu1 0.5000 0.5000 0.3117  5 Se 3.28-3.41
Pu2 0.5000 0.5000 0.6883  5 Se 3.28-3.41
Se1 0.0000 0.0000 0.2481  1 Pm 2.71, 1 Ho 2.75
Se2 0.0000 0.0000 0.7519  1 Pm 2.71, 1 Ho 2.75
Se3 0.0000 0.5000 0.5000  2 Ho 2.56
Se4 0.5000 0.0000 0.5000  2 Ho 2.56
Se5 0.5000 0.5000 0.0000  2 Pu 3.41, 4 Pm 3.62

=====

Please write out number 2 again, unchanged.
The following is a PBE calculation of a geometry-optimized PmHoPu2Se5 structure, from Alexandria via LeMat-Bulk.

Properties
space group: P4/mmm
total DFT energy (no corrections): -7.332 eV/atom
crystal system: tetragonal
formation energy without anion corrections: -1175 meV per atom

Lattice parameters (Å, degrees): 5.1182 5.1182 10.9281 90.00 90.00 90.00
Closest atoms and distances in Å follow each position.
Fractional positions:
Pm1 0.0000 0.0000 0.0000  2 Se 2.71
Ho1 0.0000 0.0000 0.5000  6 Se 2.56-2.75
Pu1 0.5000 0.5000 0.3117  5 Se 3.28-3.41
Pu2 0.5000 0.5000 0.6883  5 Se 3.28-3.41
Se1 0.0000 0.0000 0.2481  1 Pm 2.71, 1 Ho 2.75
Se2 0.0000 0.0000 0.7519  1 Pm 2.71, 1 Ho 2.75
Se3 0.0000 0.5000 0.5000  2 Ho 2.56
Se4 0.5000 0.0000 0.5000  2 Ho 2.56
Se5 0.5000 0.5000 0.0000  2 Pu 3.41, 4 Pm 3.62